[1]
Computed, not measured: a crystal of FeNi relaxed with PBEsol at the SCAN level of DFT.

## Properties
Space group   No. 166
Magnetization   3.5 Bohr magnetons per cell
Mass density   8.90 g/cm³
Uncorrected energy   -17.19 eV/atom
Calculated volume   21.37 Å³ per cell
ΔE_f   -7 kJ/mol of formula units

a = 4.3048 Å, b = 4.3048 Å, c = 4.3048 Å
α = 33.27°, β = 33.27°, γ = 33.27°
Atoms (fractional coordinates):
Fe 0.0000 0.0000 0.0000
Ni 0.5000 0.5000 0.5000

[2]
Computed, not measured: a crystal of La2CdCo relaxed with PBEsol at the SCAN level of DFT.

## Properties
Space group   No. 10
Magnetization   0.0 Bohr magnetons per cell
Mass density   7.64 g/cm³
Uncorrected energy   -33.58 eV/atom
Calculated volume   97.59 Å³ per cell
ΔE_f   -39 kJ/mol of formula units

a = 3.7984 Å, b = 3.5504 Å, c = 7.3315 Å
α = 90.00°, β = 99.23°, γ = 90.00°
Atoms (fractional coordinates):
La 0.0925 0.0000 0.2934
La 0.9075 0.0000 0.7066
Cd 0.5000 0.5000 0.0000
Co 0.5000 0.5000 0.5000

[3]
Computed, not measured: a crystal of BaLaIn relaxed with PBEsol at the SCAN level of DFT.

## Properties
Space group   No. 156
Magnetization   0.1 Bohr magnetons per cell
Energy above the most stable polymorph in this dataset   0.0000 eV per atom
Mass density   5.77 g/cm³
Uncorrected energy   -38.82 eV/atom
Calculated volume   112.54 Å³ per cell
ΔE_f   -40 kJ/mol of formula units

a = 3.9023 Å, b = 3.9023 Å, c = 8.5339 Å
α = 90.00°, β = 90.00°, γ = 120.00°
Atoms (fractional coordinates):
Ba 0.0000 0.0000 0.0000
La 0.6667 0.3333 0.4046
In 0.3333 0.6667 0.6864

[4]
Computed, not measured: a crystal of LiTa3B relaxed with PBEsol at the SCAN level of DFT.

## Properties
Space group   No. 221
Magnetization   0.0 Bohr magnetons per cell
Mass density   12.46 g/cm³
Uncorrected energy   -40.28 eV/atom
Calculated volume   74.73 Å³ per cell
ΔE_f   786 kJ/mol of formula units

a = 4.2120 Å, b = 4.2120 Å, c = 4.2120 Å
α = 90.00°, β = 90.00°, γ = 90.00°
Atoms (fractional coordinates):
Li 0.0000 0.0000 0.0000
Ta 0.0000 0.0000 0.5000
Ta 0.0000 0.5000 0.0000
Ta 0.5000 0.0000 0.0000
B 0.5000 0.5000 0.5000

[5]
Computed, not measured: a crystal of TaRe3S relaxed with PBEsol at the SCAN level of DFT.

## Properties
Space group   No. 221
Magnetization   1.3 Bohr magnetons per cell
Mass density   12.17 g/cm³
Uncorrected energy   -55.08 eV/atom
Calculated volume   105.25 Å³ per cell
Formation energy (no corrections)   2.820 eV/atom

a = 4.7215 Å, b = 4.7215 Å, c = 4.7215 Å
α = 90.00°, β = 90.00°, γ = 90.00°
Atoms (fractional coordinates):
Ta 0.0000 0.0000 0.0000
Re 0.0000 0.0000 0.5000
Re 0.0000 0.5000 0.0000
Re 0.5000 0.0000 0.0000
S 0.5000 0.5000 0.5000

[6]
Computed, not measured: a crystal of ZrOs2Rh relaxed with PBEsol at the SCAN level of DFT.

## Properties
Space group   No. 8
Magnetization   0.0 Bohr magnetons per cell
Energy above the most stable polymorph in this dataset   0.1208 eV per atom
Mass density   15.50 g/cm³
Uncorrected energy   -52.25 eV/atom
Calculated volume   61.55 Å³ per cell
ΔE_f   -75 kJ/mol of formula units

a = 4.8077 Å, b = 4.8077 Å, c = 4.8106 Å
α = 100.16°, β = 100.16°, γ = 34.28°
Atoms (fractional coordinates):
Zr 0.0000 0.0000 0.0000
Os 0.2411 0.2411 0.6905
Os 0.5014 0.5014 0.5138
Rh 0.7562 0.7562 0.2368